# Pm2Y3ThSe6 PBE optimized geometry
# DOS at the Fermi energy (states/eV/cell): 13.1
# Uncorrected formation energy (meV per atom): -1744
# Total energy (eV/atom): -6.512
data_Pm2Y3ThSe6
_cell_length_a 18.154
_cell_length_b 4.120
_cell_length_c 8.344
_cell_angle_alpha 90.00
_cell_angle_beta 104.49
_cell_angle_gamma 90.00
_symmetry_space_group_name_H-M 'C 1 2/m 1'
_symmetry_Int_Tables_number 12
_symmetry_space_group_name_Hall '-C 2y'
loop_
_atom_site_label
_atom_site_type_symbol
_atom_site_fract_x
_atom_site_fract_y
_atom_site_fract_z
Pm1 Pm 0.164 0.000 0.328
Y1 Y 0.000 0.500 0.500
Y2 Y 0.166 0.000 0.834
Th1 Th 0.000 0.500 0.000
Se1 Se 0.003 0.000 0.742
Se2 Se 0.166 0.500 0.589
Se3 Se 0.170 0.500 0.077

=====

# PmY2ThSe4 PBE optimized geometry
# DOS at the Fermi energy (states/eV/cell): 4.3
# Uncorrected formation energy (meV per atom): -1718
# Total energy (eV/atom): -6.597
data_PmY2ThSe4
_cell_length_a 7.146
_cell_length_b 4.097
_cell_length_c 7.268
_cell_angle_alpha 90.00
_cell_angle_beta 108.97
_cell_angle_gamma 90.00
_symmetry_space_group_name_H-M 'P 1 2/m 1'
_symmetry_Int_Tables_number 10
_symmetry_space_group_name_Hall '-P 2y'
loop_
_atom_site_label
_atom_site_type_symbol
_atom_site_fract_x
_atom_site_fract_y
_atom_site_fract_z
Pm1 Pm 0.000 0.000 0.000
Y1 Y 0.000 0.500 0.500
Y2 Y 0.500 0.000 0.500
Th1 Th 0.500 0.500 0.000
Se1 Se 0.245 0.000 0.738
Se2 Se 0.253 0.500 0.261

=====

# Pm3Y2ThSe6 PBE optimized geometry
# DOS at the Fermi energy (states/eV/cell): 13.5
# Uncorrected formation energy (meV per atom): -1757
# Total energy (eV/atom): -6.382
data_Pm3Y2ThSe6
_cell_length_a 18.091
_cell_length_b 4.147
_cell_length_c 8.368
_cell_angle_alpha 90.00
_cell_angle_beta 102.61
_cell_angle_gamma 90.00
_symmetry_space_group_name_H-M 'C 1 2/m 1'
_symmetry_Int_Tables_number 12
_symmetry_space_group_name_Hall '-C 2y'
loop_
_atom_site_label
_atom_site_type_symbol
_atom_site_fract_x
_atom_site_fract_y
_atom_site_fract_z
Pm1 Pm 0.000 0.000 0.000
Pm2 Pm 0.162 0.500 0.334
Y1 Y 0.165 0.500 0.830
Th1 Th 0.000 0.000 0.500
Se1 Se 0.004 0.500 0.755
Se2 Se 0.170 0.000 0.078
Se3 Se 0.170 0.000 0.592

=====

# Pm2YThSe4 PBE optimized geometry
# DOS at the Fermi energy (states/eV/cell): 4.4
# Uncorrected formation energy (meV per atom): -1733
# Total energy (eV/atom): -6.399
data_Pm2YThSe4
_cell_length_a 7.209
_cell_length_b 4.146
_cell_length_c 7.281
_cell_angle_alpha 90.00
_cell_angle_beta 109.21
_cell_angle_gamma 90.00
_symmetry_space_group_name_H-M 'P 1 2/m 1'
_symmetry_Int_Tables_number 10
_symmetry_space_group_name_Hall '-P 2y'
loop_
_atom_site_label
_atom_site_type_symbol
_atom_site_fract_x
_atom_site_fract_y
_atom_site_fract_z
Pm1 Pm 0.000 0.000 0.000
Pm2 Pm 0.000 0.500 0.500
Y1 Y 0.500 0.000 0.500
Th1 Th 0.500 0.500 0.000
Se1 Se 0.251 0.000 0.744
Se2 Se 0.256 0.500 0.258

=====

# Pm2TiSe5 PBE optimized geometry
# Uncorrected formation energy (meV per atom): -1482
# Total energy (eV/atom): -5.835
data_Pm2TiSe5
_cell_length_a 10.509
_cell_length_b 9.810
_cell_length_c 4.887
_cell_angle_alpha 90.00
_cell_angle_beta 117.60
_cell_angle_gamma 90.00
_symmetry_space_group_name_H-M 'C 1 m 1'
_symmetry_Int_Tables_number 8
_symmetry_space_group_name_Hall 'C -2y'
loop_
_atom_site_label
_atom_site_type_symbol
_atom_site_fract_x
_atom_site_fract_y
_atom_site_fract_z
Pm1 Pm 0.000 0.206 0.000
Ti1 Ti 0.220 0.000 0.695
Se1 Se 0.185 0.264 0.686
Se2 Se 0.229 0.000 0.218
Se3 Se 0.429 0.500 0.431
Se4 Se 0.488 0.000 0.994

=====

# Pm3TiSe6 PBE optimized geometry
# DOS at the Fermi energy (states/eV/cell): 23.7
# Uncorrected formation energy (meV per atom): -1618
# Total energy (eV/atom): -5.924
data_Pm3TiSe6
_cell_length_a 11.439
_cell_length_b 14.170
_cell_length_c 6.963
_cell_angle_alpha 90.00
_cell_angle_beta 90.00
_cell_angle_gamma 90.00
_symmetry_space_group_name_H-M 'C m c 21'
_symmetry_Int_Tables_number 36
_symmetry_space_group_name_Hall 'C 2c -2'
loop_
_atom_site_label
_atom_site_type_symbol
_atom_site_fract_x
_atom_site_fract_y
_atom_site_fract_z
Pm1 Pm 0.000 0.097 0.000
Pm2 Pm 0.180 0.402 0.093
Ti1 Ti 0.000 0.301 0.635
Se1 Se 0.000 0.278 0.280
Se2 Se 0.000 0.463 0.780
Se3 Se 0.163 0.031 0.296
Se4 Se 0.166 0.234 0.807

=====

# PmTiSe2 PBE optimized geometry
# DOS at the Fermi energy (states/eV/cell): 12.8
# Uncorrected formation energy (meV per atom): -827
# Total energy (eV/atom): -5.731
data_PmTiSe2
_cell_length_a 4.1322
_cell_length_b 4.1322
_cell_length_c 25.1116
_cell_angle_alpha 90.00
_cell_angle_beta 90.00
_cell_angle_gamma 120.00
_symmetry_space_group_name_H-M 'R -3 m'
_symmetry_Int_Tables_number 166
_symmetry_space_group_name_Hall '-R 3 2"'
loop_
_atom_site_label
_atom_site_type_symbol
_atom_site_fract_x
_atom_site_fract_y
_atom_site_fract_z
Pm1 Pm 0.0000 0.0000 0.0000
Ti1 Ti 0.0000 0.0000 0.5000
Se1 Se 0.0000 0.0000 0.4004

=====

# PmTi4Se8 PBE optimized geometry
# DOS at the Fermi energy (states/eV/cell): 26.2
# Energy above the lowest structure with this stoichiometry (meV/atom): 0.0
# Uncorrected formation energy (meV per atom): -1279
# Total energy (eV/atom): -6.218
data_PmTi4Se8
_cell_length_a 7.2593
_cell_length_b 7.2593
_cell_length_c 20.6750
_cell_angle_alpha 90.00
_cell_angle_beta 90.00
_cell_angle_gamma 120.00
_symmetry_space_group_name_H-M 'R -3 m'
_symmetry_Int_Tables_number 166
_symmetry_space_group_name_Hall '-R 3 2"'
loop_
_atom_site_label
_atom_site_type_symbol
_atom_site_fract_x
_atom_site_fract_y
_atom_site_fract_z
Pm1 Pm 0.0000 0.0000 0.0000
Ti1 Ti 0.0000 0.0000 0.5000
Ti2 Ti 0.0000 0.5000 0.5000
Se1 Se 0.0000 0.0000 0.2390
Se2 Se 0.0095 0.5048 0.2414

=====

# PmTi4Se8 PBE optimized geometry
# DOS at the Fermi energy (states/eV/cell): 22.0
# Energy above the lowest structure with this stoichiometry (meV/atom): 111.0
# Uncorrected formation energy (meV per atom): -1168
# Total energy (eV/atom): -6.107
data_PmTi4Se8
_cell_length_a 10.922
_cell_length_b 10.922
_cell_length_c 10.922
_cell_angle_alpha 90.00
_cell_angle_beta 90.00
_cell_angle_gamma 90.00
_symmetry_space_group_name_H-M 'F -4 3 m'
_symmetry_Int_Tables_number 216
_symmetry_space_group_name_Hall 'F -4 2 3'
loop_
_atom_site_label
_atom_site_type_symbol
_atom_site_fract_x
_atom_site_fract_y
_atom_site_fract_z
Pm1 Pm 0.000 0.000 0.000
Ti1 Ti 0.110 0.110 0.610
Se1 Se 0.123 0.123 0.377
Se2 Se 0.145 0.145 0.855

=====

# Pm3TiTl3Se8 PBE optimized geometry
# Uncorrected formation energy (meV per atom): -1288
# Total energy (eV/atom): -5.097
data_Pm3TiTl3Se8
_cell_length_a 8.3079
_cell_length_b 8.3079
_cell_length_c 23.4915
_cell_angle_alpha 90.00
_cell_angle_beta 90.00
_cell_angle_gamma 120.00
_symmetry_space_group_name_H-M 'R -3 m'
_symmetry_Int_Tables_number 166
_symmetry_space_group_name_Hall '-R 3 2"'
loop_
_atom_site_label
_atom_site_type_symbol
_atom_site_fract_x
_atom_site_fract_y
_atom_site_fract_z
Pm1 Pm 0.0000 0.5000 0.0000
Ti1 Ti 0.0000 0.0000 0.0000
Tl1 Tl 0.0000 0.5000 0.5000
Se1 Se 0.0000 0.0000 0.2624
Se2 Se 0.0334 0.5167 0.7318

=====

# Pm5Tl2Se2 PBE optimized geometry
# DOS at the Fermi energy (states/eV/cell): 35.6
# Uncorrected formation energy (meV per atom): -867
# Total energy (eV/atom): -4.806
data_Pm5Tl2Se2
_cell_length_a 15.438
_cell_length_b 8.134
_cell_length_c 8.221
_cell_angle_alpha 90.00
_cell_angle_beta 90.00
_cell_angle_gamma 90.00
_symmetry_space_group_name_H-M 'C m c e'
_symmetry_Int_Tables_number 64
_symmetry_space_group_name_Hall '-C 2ac 2'
loop_
_atom_site_label
_atom_site_type_symbol
_atom_site_fract_x
_atom_site_fract_y
_atom_site_fract_z
Pm1 Pm 0.000 0.000 0.000
Pm2 Pm 0.128 0.168 0.337
Tl1 Tl 0.209 0.000 0.000
Se1 Se 0.000 0.140 0.645

=====

# PmTlSe2 PBE optimized geometry
# Energy above the lowest structure with this stoichiometry (meV/atom): 0.0
# Uncorrected formation energy (meV per atom): -1385
# Total energy (eV/atom): -4.906
data_PmTlSe2
_cell_length_a 4.2960
_cell_length_b 4.2960
_cell_length_c 23.2678
_cell_angle_alpha 90.00
_cell_angle_beta 90.00
_cell_angle_gamma 120.00
_symmetry_space_group_name_H-M 'R -3 m'
_symmetry_Int_Tables_number 166
_symmetry_space_group_name_Hall '-R 3 2"'
loop_
_atom_site_label
_atom_site_type_symbol
_atom_site_fract_x
_atom_site_fract_y
_atom_site_fract_z
Pm1 Pm 0.0000 0.0000 0.0000
Tl1 Tl 0.0000 0.0000 0.5000
Se1 Se 0.0000 0.0000 0.2635

=====

# Pm8TlSe6 PBE optimized geometry
# DOS at the Fermi energy (states/eV/cell): 12.6
# Uncorrected formation energy (meV per atom): -1369
# Total energy (eV/atom): -5.454
data_Pm8TlSe6
_cell_length_a 10.8794
_cell_length_b 10.8794
_cell_length_c 4.1971
_cell_angle_alpha 90.00
_cell_angle_beta 90.00
_cell_angle_gamma 120.00
_symmetry_space_group_name_H-M 'P -3'
_symmetry_Int_Tables_number 147
_symmetry_space_group_name_Hall '-P 3'
loop_
_atom_site_label
_atom_site_type_symbol
_atom_site_fract_x
_atom_site_fract_y
_atom_site_fract_z
Pm1 Pm 0.0357 0.7066 0.2487
Pm2 Pm 0.3333 0.6667 0.7509
Tl1 Tl 0.0000 0.0000 0.0000
Se1 Se 0.1331 0.4837 0.2496

=====

# PmTlSe2 PBE optimized geometry
# DOS at the Fermi energy (states/eV/cell): 0.5
# Energy above the lowest structure with this stoichiometry (meV/atom): 203.1
# Uncorrected formation energy (meV per atom): -1182
# Total energy (eV/atom): -4.703
data_PmTlSe2
_cell_length_a 3.726
_cell_length_b 3.726
_cell_length_c 7.848
_cell_angle_alpha 90.00
_cell_angle_beta 90.00
_cell_angle_gamma 90.00
_symmetry_space_group_name_H-M 'P 4/m m m'
_symmetry_Int_Tables_number 123
_symmetry_space_group_name_Hall '-P 4 2'
loop_
_atom_site_label
_atom_site_type_symbol
_atom_site_fract_x
_atom_site_fract_y
_atom_site_fract_z
Pm1 Pm 0.000 0.000 0.000
Tl1 Tl 0.000 0.000 0.500
Se1 Se 0.500 0.500 0.211

=====

# Pm4TlSe2 PBE optimized geometry
# DOS at the Fermi energy (states/eV/cell): 21.9
# Uncorrected formation energy (meV per atom): -1168
# Total energy (eV/atom): -5.216
data_Pm4TlSe2
_cell_length_a 4.177
_cell_length_b 13.851
_cell_length_c 14.377
_cell_angle_alpha 90.00
_cell_angle_beta 90.00
_cell_angle_gamma 90.00
_symmetry_space_group_name_H-M 'C m c m'
_symmetry_Int_Tables_number 63
_symmetry_space_group_name_Hall '-C 2c 2'
loop_
_atom_site_label
_atom_site_type_symbol
_atom_site_fract_x
_atom_site_fract_y
_atom_site_fract_z
Pm1 Pm 0.000 0.000 0.000
Pm2 Pm 0.000 0.270 0.120
Pm3 Pm 0.000 0.433 0.750
Tl1 Tl 0.000 0.106 0.750
Se1 Se 0.000 0.364 0.560

=====

# PmTlSe4 PBE optimized geometry
# Uncorrected formation energy (meV per atom): -920
# Total energy (eV/atom): -4.430
data_PmTlSe4
_cell_length_a 6.349
_cell_length_b 6.349
_cell_length_c 8.443
_cell_angle_alpha 90.00
_cell_angle_beta 90.00
_cell_angle_gamma 90.00
_symmetry_space_group_name_H-M 'P 4/n b m'
_symmetry_Int_Tables_number 125
loop_
_symmetry_equiv_pos_as_xyz
'x,y,z'
'-x,-y,-z'
'-y+1/2,x,z'
'y+1/2,-x,-z'
'-x+1/2,-y+1/2,z'
'x+1/2,y+1/2,-z'
'y,-x+1/2,z'
'-y,x+1/2,-z'
'x,-y+1/2,-z'
'-x,y+1/2,z'
'-y+1/2,-x+1/2,-z'
'y+1/2,x+1/2,z'
'-x+1/2,y,-z'
'x+1/2,-y,z'
'y,x,-z'
'-y,-x,z'
loop_
_atom_site_label
_atom_site_type_symbol
_atom_site_fract_x
_atom_site_fract_y
_atom_site_fract_z
Pm1 Pm 0.250 0.250 0.000
Tl1 Tl 0.250 0.250 0.500
Se1 Se 0.115 0.615 0.212

=====

# PmTl5Se4 PBE optimized geometry
# Uncorrected formation energy (meV per atom): -764
# Total energy (eV/atom): -3.816
data_PmTl5Se4
_cell_length_a 19.257
_cell_length_b 4.349
_cell_length_c 8.748
_cell_angle_alpha 90.00
_cell_angle_beta 112.34
_cell_angle_gamma 90.00
_symmetry_space_group_name_H-M 'C 1 2/m 1'
_symmetry_Int_Tables_number 12
_symmetry_space_group_name_Hall '-C 2y'
loop_
_atom_site_label
_atom_site_type_symbol
_atom_site_fract_x
_atom_site_fract_y
_atom_site_fract_z
Pm1 Pm 0.000 0.000 0.000
Tl1 Tl 0.000 0.000 0.500
Tl2 Tl 0.154 0.500 0.803
Tl3 Tl 0.193 0.500 0.314
Se1 Se 0.030 0.500 0.249
Se2 Se 0.161 0.000 0.049

=====

# Pm2TlSe PBE optimized geometry
# DOS at the Fermi energy (states/eV/cell): 5.2
# Energy above the lowest structure with this stoichiometry (meV/atom): 0.0
# Uncorrected formation energy (meV per atom): -1089
# Total energy (eV/atom): -4.927
data_Pm2TlSe
_cell_length_a 7.119
_cell_length_b 4.104
_cell_length_c 8.335
_cell_angle_alpha 90.00
_cell_angle_beta 106.45
_cell_angle_gamma 90.00
_symmetry_space_group_name_H-M 'C 1 2/m 1'
_symmetry_Int_Tables_number 12
_symmetry_space_group_name_Hall '-C 2y'
loop_
_atom_site_label
_atom_site_type_symbol
_atom_site_fract_x
_atom_site_fract_y
_atom_site_fract_z
Pm1 Pm 0.240 0.000 0.222
Tl1 Tl 0.000 0.000 0.500
Se1 Se 0.000 0.500 0.000

=====

# PmTlSe2 PBE optimized geometry
# Energy above the lowest structure with this stoichiometry (meV/atom): 22.4
# Uncorrected formation energy (meV per atom): -1362
# Total energy (eV/atom): -4.884
data_PmTlSe2
_cell_length_a 4.2802
_cell_length_b 4.2802
_cell_length_c 23.6733
_cell_angle_alpha 90.00
_cell_angle_beta 90.00
_cell_angle_gamma 120.00
_symmetry_space_group_name_H-M 'R 3 m'
_symmetry_Int_Tables_number 160
_symmetry_space_group_name_Hall 'R 3 -2"'
loop_
_atom_site_label
_atom_site_type_symbol
_atom_site_fract_x
_atom_site_fract_y
_atom_site_fract_z
Pm1 Pm 0.0000 0.0000 0.0000
Tl1 Tl 0.0000 0.0000 0.1702
Se1 Se 0.0000 0.0000 0.4017
Se2 Se 0.0000 0.0000 0.5968

=====

# Pm4TlSe3 PBE optimized geometry
# DOS at the Fermi energy (states/eV/cell): 4.8
# Uncorrected formation energy (meV per atom): -1481
# Total energy (eV/atom): -5.459
data_Pm4TlSe3
_cell_length_a 6.059
_cell_length_b 6.059
_cell_length_c 12.096
_cell_angle_alpha 90.00
_cell_angle_beta 90.00
_cell_angle_gamma 90.00
_symmetry_space_group_name_H-M 'I 4/m m m'
_symmetry_Int_Tables_number 139
_symmetry_space_group_name_Hall '-I 4 2'
loop_
_atom_site_label
_atom_site_type_symbol
_atom_site_fract_x
_atom_site_fract_y
_atom_site_fract_z
Pm1 Pm 0.000 0.000 0.244
Pm2 Pm 0.000 0.500 0.000
Tl1 Tl 0.000 0.000 0.500
Se1 Se 0.000 0.000 0.000
Se2 Se 0.000 0.500 0.250

=====

# Pm6TlSe5 PBE optimized geometry
# DOS at the Fermi energy (states/eV/cell): 12.3
# Uncorrected formation energy (meV per atom): -1588
# Total energy (eV/atom): -5.612
data_Pm6TlSe5
_cell_length_a 7.380
_cell_length_b 12.741
_cell_length_c 7.362
_cell_angle_alpha 90.00
_cell_angle_beta 109.31
_cell_angle_gamma 90.00
_symmetry_space_group_name_H-M 'C 1 2/m 1'
_symmetry_Int_Tables_number 12
_symmetry_space_group_name_Hall '-C 2y'
loop_
_atom_site_label
_atom_site_type_symbol
_atom_site_fract_x
_atom_site_fract_y
_atom_site_fract_z
Pm1 Pm 0.243 0.000 0.252
Pm2 Pm 0.246 0.170 0.745
Tl1 Tl 0.000 0.500 0.000
Se1 Se 0.000 0.000 0.500
Se2 Se 0.000 0.167 0.000
Se3 Se 0.000 0.336 0.500

=====

# Pm5TlSe8 PBE optimized geometry
# Uncorrected formation energy (meV per atom): -1651
# Total energy (eV/atom): -5.508
data_Pm5TlSe8
_cell_length_a 12.406
_cell_length_b 12.406
_cell_length_c 12.406
_cell_angle_alpha 90.00
_cell_angle_beta 90.00
_cell_angle_gamma 90.00
_symmetry_space_group_name_H-M 'F -4 3 m'
_symmetry_Int_Tables_number 216
_symmetry_space_group_name_Hall 'F -4 2 3'
loop_
_atom_site_label
_atom_site_type_symbol
_atom_site_fract_x
_atom_site_fract_y
_atom_site_fract_z
Pm1 Pm 0.000 0.000 0.000
Pm2 Pm 0.121 0.121 0.379
Tl1 Tl 0.250 0.250 0.750
Se1 Se 0.111 0.111 0.611
Se2 Se 0.133 0.133 0.133